Crystalline YAs2Br at its relaxed geometry. Source: Alexandria, functional PBE-GGA.

It has space group Imm2 (No. 44), with a = 3.7443 Å, b = 5.3218 Å, c = 12.8845 Å, α = 90.00°, β = 90.00° and γ = 90.00°. The distinct sites, in fractional coordinates, are Y at (0.0000, 0.0000, 0.0000), As at (0.0000, 0.0000, 0.5685), As at (0.0000, 0.5000, 0.9349) and Br at (0.0000, 0.5000, 0.3350).

Its polymorph energy (0 for the lowest one) is 0.0838 eV per atom. Its density of states at the Fermi level is 0.059 states/eV per atom. For the total DFT energy (no corrections), the calculation gives -5.155 eV/atom. Its uncorrected formation energy is -0.796 eV per atom. As for the crystal system: orthorhombic.